The following is a DFT calculation (SCAN) of a PBEsol-optimized structure of Ga4B2O9.

a = 15.183 Å, b = 5.753 Å, c = 10.863 Å
α = 90.00°, β = 133.95°, γ = 90.00°
Space group Cm (No. 8)
One atom of each set of equivalent atoms:
1 Ga 0.000 0.000 0.000 x2
2 Ga 0.014 0.000 0.557 x2
3 Ga 0.195 0.000 0.391 x2
4 Ga 0.268 0.252 0.724 x4
5 Ga 0.272 0.251 0.233 x4
6 Ga 0.366 0.500 0.100 x2
7 B 0.022 0.500 0.520 x2
8 B 0.023 0.500 0.958 x2
9 B 0.286 0.000 0.996 x2
10 B 0.309 0.500 0.513 x2
11 O 0.026 0.000 0.199 x2
12 O 0.088 0.292 0.593 x4
13 O 0.148 0.500 0.078 x2
14 O 0.165 0.000 0.133 x2
15 O 0.227 0.000 0.585 x2
16 O 0.255 0.288 0.394 x4
17 O 0.264 0.000 0.850 x2
18 O 0.266 0.500 0.601 x2
19 O 0.296 0.207 0.070 x4
20 O 0.321 0.500 0.883 x2
21 O 0.387 0.500 0.311 x2
22 O 0.400 0.000 0.382 x2
23 O 0.440 0.500 0.631 x2
24 O 0.456 0.205 0.895 x4

VASP energy in eV for the cell shown: -678.673
Mass density in g/cm3: 4.32